Entry 1:
# Pr8HOs3Br3, relaxed, DFT GGA-PBE
# - Space-group type: C2/m
# - VASP energy: -5.87 eV/atom
# - D(E_F): 7.7 states/eV/f.u.
data_Pr8HOs3Br3
_cell_length_a 8.235
_cell_length_b 8.242
_cell_length_c 9.123
_cell_angle_alpha 116.91
_cell_angle_beta 90.02
_cell_angle_gamma 119.95
_space_group_name_H-M_alt 'P 1'
_space_group_IT_number 1
_space_group_name_Hall 'P 1'
loop_
_atom_site_label
_atom_site_type_symbol
_atom_site_fract_x
_atom_site_fract_y
_atom_site_fract_z
Os1 Os 0.500 0.500 0.500
Br1 Br 0.500 0.500 0.000
Os2 Os 0.500 0.000 0.500
Pr1 Pr 0.234 0.468 0.696
Pr2 Pr 0.766 0.038 0.304
Pr3 Pr 0.234 0.962 0.696
Br2 Br 0.000 0.000 0.000
H1 H 0.000 0.000 0.500
Os3 Os 0.000 0.500 0.500
Pr4 Pr 0.766 0.532 0.304
Br3 Br 0.000 0.500 0.000
Pr5 Pr 0.735 0.469 0.704
Pr6 Pr 0.728 0.962 0.696
Pr7 Pr 0.265 0.531 0.296
Pr8 Pr 0.272 0.038 0.304

***

Entry 2:
# RbH2OsBr8, relaxed, DFT GGA-PBE
# - Space-group type: P-1
# - VASP energy: -3.12 eV/atom
data_RbH2OsBr8
_cell_length_a 6.739
_cell_length_b 7.166
_cell_length_c 9.786
_cell_angle_alpha 114.24
_cell_angle_beta 97.18
_cell_angle_gamma 69.26
_space_group_name_H-M_alt 'P 1'
_space_group_IT_number 1
_space_group_name_Hall 'P 1'
loop_
_atom_site_label
_atom_site_type_symbol
_atom_site_fract_x
_atom_site_fract_y
_atom_site_fract_z
H1 H 0.686 0.480 0.344
Br1 Br 0.905 0.669 0.879
H2 H 0.314 0.520 0.656
Br2 Br 0.282 0.855 0.801
Rb1 Rb 0.000 0.000 0.500
Br3 Br 0.733 0.172 0.850
Br4 Br 0.643 0.700 0.468
Br5 Br 0.357 0.300 0.532
Br6 Br 0.095 0.331 0.121
Br7 Br 0.718 0.145 0.199
Br8 Br 0.267 0.828 0.150
Os1 Os 0.000 0.000 0.000

***

Entry 3:
# HOsSe2Br, relaxed, DFT GGA-PBE
# - Space-group type: P4/mmm
# - Excess energy over the best structure of this formula in the dataset: 0 kJ/mol of formula units
# - D(E_F): 4.5 states/eV/f.u.
data_HOsSe2Br
_cell_length_a 4.767
_cell_length_b 4.767
_cell_length_c 5.494
_cell_angle_alpha 90.00
_cell_angle_beta 90.00
_cell_angle_gamma 90.00
_space_group_name_H-M_alt 'P 1'
_space_group_IT_number 1
_space_group_name_Hall 'P 1'
loop_
_atom_site_label
_atom_site_type_symbol
_atom_site_fract_x
_atom_site_fract_y
_atom_site_fract_z
Os1 Os 0.000 0.000 0.000
Se1 Se 0.500 0.000 0.000
Br1 Br 0.000 0.000 0.500
H1 H 0.500 0.500 0.500
Se2 Se 0.000 0.500 0.000

***

Entry 4:
# HOsSe2Br, relaxed, DFT GGA-PBE
# - Space-group type: P4/mmm
# - Excess energy over the best structure of this formula in the dataset: 222 kJ/mol of formula units
# - D(E_F): 2.4 states/eV/f.u.
data_HOsSe2Br
_cell_length_a 4.015
_cell_length_b 4.015
_cell_length_c 4.851
_cell_angle_alpha 90.00
_cell_angle_beta 90.00
_cell_angle_gamma 90.00
_space_group_name_H-M_alt 'P 1'
_space_group_IT_number 1
_space_group_name_Hall 'P 1'
loop_
_atom_site_label
_atom_site_type_symbol
_atom_site_fract_x
_atom_site_fract_y
_atom_site_fract_z
Se1 Se 0.500 0.000 0.000
Os1 Os 0.500 0.500 0.500
Se2 Se 0.000 0.500 0.000
H1 H 0.000 0.000 0.000
Br1 Br 0.000 0.000 0.500

***

> What is the formula in the third record?

HOsSe2Br

***

> Number 1 is which compound?

Pr8HOs3Br3